[1]
First-principles (PBE) data for BeZnAs2O6 after structural relaxation, as listed in Alexandria via LeMat-Bulk.

The total DFT energy (no corrections) comes out at -115.321 eV per cell. Its crystal system is monoclinic.

abc: 5.173 7.040 7.040
angles: 69.17 73.09 73.09
Sites, in units of the cell vectors:
O 0.041 0.620 0.238
O 0.512 0.637 0.785
O 0.835 0.999 0.197
O 0.541 0.238 0.620
As 0.658 0.143 0.395
As 0.158 0.395 0.143
Be 0.250 0.219 0.781
O 0.012 0.785 0.637
Zn 0.750 0.142 0.858
As 0.342 0.857 0.605
O 0.959 0.380 0.762
As 0.842 0.605 0.857
O 0.488 0.363 0.215
O 0.665 0.803 0.001
O 0.988 0.215 0.363
Be 0.750 0.781 0.219
Zn 0.250 0.858 0.142
O 0.165 0.001 0.803
O 0.459 0.762 0.380
O 0.335 0.197 0.999

---

[2]
First-principles (PBE) data for Be2ZnAsO6 after structural relaxation, as listed in Alexandria via LeMat-Bulk.

The total DFT energy (no corrections) comes out at -119.307 eV per cell. The calculation puts the density of states at the Fermi level at 9.408 states/eV per cell. Its crystal system is monoclinic.

abc: 5.445 6.343 6.343
angles: 81.01 72.59 72.59
Sites, in units of the cell vectors:
As 0.250 0.267 0.733
O 0.301 0.291 0.421
Zn 0.250 0.902 0.098
Be 0.639 0.230 0.375
O 0.298 0.222 0.022
Be 0.139 0.375 0.230
O 0.611 0.173 0.637
O 0.202 0.978 0.778
Be 0.361 0.770 0.625
O 0.699 0.709 0.579
Be 0.861 0.625 0.770
O 0.801 0.421 0.291
O 0.798 0.022 0.222
O 0.199 0.579 0.709
As 0.750 0.733 0.267
O 0.702 0.778 0.978
O 0.889 0.363 0.827
O 0.111 0.637 0.173
Zn 0.750 0.098 0.902
O 0.389 0.827 0.363

---

[3]
First-principles (PBE) data for Be2AsOs after structural relaxation, as listed in Alexandria via LeMat-Bulk.

The formation energy from the elements comes out at 0.409 eV/atom. The calculation puts the density of states at the Fermi level at 2.436 states/eV per cell. Its crystal system is monoclinic.

abc: 4.545 4.634 2.876
angles: 79.23 77.22 116.79
Sites, in units of the cell vectors:
Os 0.500 0.500 0.000
As 0.500 0.000 0.500
Be 0.000 0.000 0.000
Be 0.000 0.500 0.500

---

[4]
First-principles (PBE) data for BeAsOs after structural relaxation, as listed in Alexandria via LeMat-Bulk.

The formation energy from the elements comes out at 0.229 eV/atom. The calculation puts the density of states at the Fermi level at 1.571 states/eV per cell. Its crystal system is trigonal.

abc: 2.903 2.903 5.677
angles: 90.00 90.00 120.00
Sites, in units of the cell vectors:
As 0.000 0.000 0.992
Os 0.333 0.667 0.655
Be 0.667 0.333 0.352

---

[5]
First-principles (PBE) data for Be2AsOs after structural relaxation, as listed in Alexandria via LeMat-Bulk.

The formation energy from the elements comes out at -0.027 eV/atom. The calculation puts the density of states at the Fermi level at 1.422 states/eV per cell. Its crystal system is tetragonal.

abc: 3.062 3.062 4.963
angles: 90.00 90.00 90.00
Sites, in units of the cell vectors:
As 0.500 0.500 0.750
Be 0.000 0.000 0.021
Os 0.500 0.500 0.250
Be 0.000 0.000 0.479

---

[6]
First-principles (PBE) data for BeAsOs after structural relaxation, as listed in Alexandria via LeMat-Bulk.

The formation energy from the elements comes out at 0.073 eV/atom. The calculation puts the density of states at the Fermi level at 1.262 states/eV per cell. Its crystal system is orthorhombic.

abc: 4.394 4.394 4.394
angles: 139.79 134.94 61.96
Sites, in units of the cell vectors:
Be 0.328 0.328 0.000
As 0.003 0.003 0.000
Os 0.668 0.668 0.000

---

[7]
First-principles (PBE) data for Be2AsOs after structural relaxation, as listed in Alexandria via LeMat-Bulk.

The formation energy from the elements comes out at 0.143 eV/atom. The calculation puts the density of states at the Fermi level at 1.549 states/eV per cell. Its crystal system is monoclinic.

abc: 3.332 2.971 5.005
angles: 89.92 90.00 90.00
Sites, in units of the cell vectors:
Be 0.000 0.749 0.454
As 0.500 0.750 0.750
Os 0.500 0.250 0.250
Be 0.000 0.751 0.046

---

[8]
First-principles (PBE) data for Be2AsOs after structural relaxation, as listed in Alexandria via LeMat-Bulk.

The formation energy from the elements comes out at 0.429 eV/atom. The calculation puts the density of states at the Fermi level at 2.313 states/eV per cell. Its crystal system is trigonal.

abc: 7.431 7.431 7.431
angles: 22.16 22.16 22.16
Sites, in units of the cell vectors:
Be 0.253 0.253 0.253
Be 0.995 0.995 0.995
As 0.748 0.748 0.748
Os 0.505 0.505 0.505